# 1
! YAg2F GGA-PBE relaxed; values from VASP
! Space group: No. 225
! Magnetic moment: 0.00 μB/f.u.
! ΔE_f (raw): -194 kJ/mol of formula units
! E_tot: -4.0132 eV/atom
&SYSTEM
  ibrav = 0, nat = 4, ntyp = 3
/
ATOMIC_SPECIES
F 19.00 F.upf
Y 88.91 Y.upf
Ag 107.87 Ag.upf
CELL_PARAMETERS angstrom
-0.6690 -0.2415 4.8159
0.3088 4.0352 2.7058
-4.0102 1.9031 1.9989
ATOMIC_POSITIONS angstrom
F 0.0000 0.0000 0.0000
Y -2.1852 2.8484 4.7603
Ag -3.2777 4.2726 7.1405
Ag -1.0926 1.4242 2.3802

# 2
! YAg6F12 GGA-PBE relaxed; values from VASP
! Space group: No. 148
! Magnetic moment: 3.13 μB/f.u.
! ΔE_f (raw): -3136 kJ/mol of formula units
! E_tot: -4.1330 eV/atom
&SYSTEM
  ibrav = 0, nat = 19, ntyp = 3
/
ATOMIC_SPECIES
F 19.00 F.upf
Y 88.91 Y.upf
Ag 107.87 Ag.upf
CELL_PARAMETERS angstrom
-2.6031 5.9418 -2.3979
-4.4408 -1.3811 5.1188
5.4294 2.3285 3.5959
ATOMIC_POSITIONS angstrom
F -1.2414 6.3997 -0.7457
F -4.6533 0.7274 4.5685
F -3.1839 3.2039 4.1638
F -0.6198 5.7671 2.0236
F 1.5694 3.6853 2.1530
F 3.0388 6.1618 1.7483
F 3.6668 2.3791 4.8937
F -0.3732 0.4895 7.0625
F -0.9948 1.1220 4.2932
F -5.2813 4.5100 1.4231
F 0.9227 3.3221 5.0844
F -2.5372 3.5670 1.2324
Y 0.0000 0.0000 0.0000
Ag 1.5310 1.8318 3.4224
Ag -3.1456 5.0574 2.8944
Ag 1.1023 5.5440 3.4495
Ag -1.0902 2.7689 5.9156
Ag -0.5244 4.1202 0.4012
Ag -2.7168 1.3452 2.8673

# 3
! YAgF GGA-PBE relaxed; values from VASP
! Space group: No. 129
! Magnetic moment: 0.00 μB/f.u.
! ΔE_f (raw): -548 kJ/mol of formula units
! E_tot: -5.6204 eV/atom
&SYSTEM
  ibrav = 0, nat = 6, ntyp = 3
/
ATOMIC_SPECIES
F 19.00 F.upf
Y 88.91 Y.upf
Ag 107.87 Ag.upf
CELL_PARAMETERS angstrom
-0.6118 1.4884 -3.2929
-1.2004 -3.2338 -1.2386
-7.5091 1.9205 2.2632
ATOMIC_POSITIONS angstrom
F 0.0000 0.0000 0.0000
F -0.9061 -0.8727 -2.2658
Y -6.6426 -0.0715 1.2018
Y -1.7726 1.1193 -1.2044
Ag -4.7606 1.8835 -0.3038
Ag -3.6546 -0.8357 0.3013

# 4
! Y2Ag2F GGA-PBE relaxed; values from VASP
! Space group: No. 127
! Magnetic moment: 0.00 μB/f.u.
! ΔE_f (raw): -484 kJ/mol of formula units
! E_tot: -5.1027 eV/atom
&SYSTEM
  ibrav = 0, nat = 10, ntyp = 3
/
ATOMIC_SPECIES
Ag 107.87 Ag.upf
Y 88.91 Y.upf
F 19.00 F.upf
CELL_PARAMETERS angstrom
-6.6006 -0.5496 -1.4161
1.0695 -6.1652 -2.5926
-0.7835 -1.9978 4.4276
ATOMIC_POSITIONS angstrom
Ag -2.6096 -2.0662 1.3397
Ag -3.7050 -6.6464 -0.9208
Ag -5.6771 -3.6835 0.0671
Ag -0.6376 -5.0292 0.3518
Y -4.2572 -1.4364 -1.4015
Y -4.7390 -4.6037 -2.9159
Y -0.7921 -2.1111 -1.0928
Y -1.2739 -5.2784 -2.6072
F -2.7656 -3.3574 -2.0043
F 0.0000 0.0000 0.0000